DFT (GGA-PBEsol) results for a relaxed structure of Mn4CrGa5Co10.

a b c (Å): 3.9798 3.9798 16.4111
angles (deg): 83.04 83.04 60.00
Closest atoms and distances in Å follow each position.
Element x y z (fractional)
Mn (0.4001, 0.4001, 0.7996)  8 Co 2.43-2.46
Mn (0.8000, 0.8000, 0.5999)  8 Co 2.44
Mn (0.2000, 0.2000, 0.4001)  8 Co 2.44
Mn (0.5999, 0.5999, 0.2004)  8 Co 2.43-2.46
Cr (0.0000, 0.0000, 0.0000)  8 Co 2.42-2.43
Ga (0.2998, 0.2998, 0.1006)  8 Co 2.43-2.45
Ga (0.5000, 0.5000, 0.5000)  8 Co 2.44
Ga (0.9000, 0.9000, 0.3001)  8 Co 2.44-2.46
Ga (0.7002, 0.7002, 0.8994)  8 Co 2.43-2.45
Ga (0.1000, 0.1000, 0.6999)  8 Co 2.44-2.46
Co (0.9505, 0.9505, 0.1486)  1 Cr 2.42, 4 Ga 2.43-2.46, 3 Mn 2.45
Co (0.1500, 0.1500, 0.5499)  4 Mn 2.44, 4 Ga 2.44
Co (0.5500, 0.5500, 0.3500)  4 Mn 2.43-2.44, 4 Ga 2.44
Co (0.3496, 0.3496, 0.9512)  4 Ga 2.43-2.45, 3 Cr 2.43, 1 Mn 2.46
Co (0.7500, 0.7500, 0.7500)  4 Ga 2.43-2.44, 4 Mn 2.44
Co (0.6504, 0.6504, 0.0488)  4 Ga 2.43-2.45, 3 Cr 2.43, 1 Mn 2.46
Co (0.8500, 0.8500, 0.4501)  4 Mn 2.44, 4 Ga 2.44
Co (0.2500, 0.2500, 0.2500)  4 Ga 2.43-2.44, 4 Mn 2.44
Co (0.0495, 0.0495, 0.8514)  1 Cr 2.42, 4 Ga 2.43-2.46, 3 Mn 2.45
Co (0.4500, 0.4500, 0.6500)  4 Mn 2.43-2.44, 4 Ga 2.44

Results
Space group: R-3m
Energy relative to the elements (eV per formula unit): -4.11
Crystal system: trigonal

DFT (GGA-PBEsol) results for a relaxed structure of Cr3CoGe.

a b c (Å): 4.4902 4.4902 4.4902
angles (deg): 90.00 90.00 90.00
Closest atoms and distances in Å follow each position.
Element x y z (fractional)
Cr (0.0000, 0.5000, 0.0000)  2 Ge 2.25
Cr (0.0000, 0.0000, 0.5000)  2 Ge 2.25
Cr (0.5000, 0.0000, 0.0000)  2 Ge 2.25
Ge (0.0000, 0.0000, 0.0000)  6 Cr 2.25
Co (0.5000, 0.5000, 0.5000)  12 Cr 3.18

Results
Space group: Pm-3m
Energy relative to the elements (eV per formula unit): 8.36
Crystal system: cubic

DFT (GGA-PBEsol) results for a relaxed structure of CrCoH3.

a b c (Å): 3.1855 3.1855 3.1855
angles (deg): 90.00 90.00 90.00
Closest atoms and distances in Å follow each position.
Element x y z (fractional)
Cr (0.5000, 0.5000, 0.5000)  12 H 2.25
Co (0.0000, 0.0000, 0.0000)  6 H 1.59
H (0.0000, 0.5000, 0.0000)  2 Co 1.59
H (0.0000, 0.0000, 0.5000)  2 Co 1.59
H (0.5000, 0.0000, 0.0000)  2 Co 1.59

Results
Space group: Pm-3m
Crystal system: cubic

DFT (GGA-PBEsol) results for a relaxed structure of CrCo3H.

a b c (Å): 3.5124 3.5124 3.5124
angles (deg): 90.00 90.00 90.00
Closest atoms and distances in Å follow each position.
Element x y z (fractional)
Cr (0.5000, 0.5000, 0.5000)  12 Co 2.48
Co (0.0000, 0.5000, 0.0000)  2 H 1.76
Co (0.0000, 0.0000, 0.5000)  2 H 1.76
Co (0.5000, 0.0000, 0.0000)  2 H 1.76
H (0.0000, 0.0000, 0.0000)  6 Co 1.76

Results
Space group: Pm-3m
Crystal system: cubic

What raw total energy values result from the calculations? In sequence: -147.5, -35.0, -27.4, -36.8 eV/f.u..
What magnetization values result from the calculations? In sequence: 19.24, 11.60, 3.63, 0.08 μB/cell.